[1]
The following is a PBE calculation of an optimized crystal structure of Ta2TlBr, from Alexandria via LeMat-Bulk.

Properties
Energy relative to the lowest polymorph listed for this composition   41.2 kJ/mol of atoms
Volume   23.55 Å³/atom

Cell lengths 6.6190, 6.6190, 6.6190 Å; angles 152.12, 135.72, 53.14 degrees
Last column: nearest neighbours and their distance in Å.
Fractional coordinates of all 4 atoms:
Ta 0.0000 0.0000 0.0000  2 Ta 2.61
Ta 0.8254 0.3254 0.5000  2 Ta 2.61
Tl 0.3438 0.8438 0.5000  6 Ta 2.97-3.11, 2 Tl 3.19
Br 0.6171 0.6171 0.0000  6 Ta 2.94-3.27, 2 Br 3.19

---

[2]
The following is a PBE calculation of an optimized crystal structure of TaTlBr4, from Alexandria via LeMat-Bulk.

Properties
Energy relative to the lowest polymorph listed for this composition   0.0 kJ/mol of atoms
Volume   39.39 Å³/atom

Cell lengths 8.8394, 8.8394, 6.1046 Å; angles 94.68, 94.68, 85.78 degrees
Last column: nearest neighbours and their distance in Å.
Fractional coordinates of all 12 atoms:
Ta 0.2230 0.7770 0.7500  4 Br 2.48-2.50
Ta 0.7770 0.2230 0.2500  4 Br 2.48-2.50
Tl 0.1715 0.8285 0.2500  2 Ta 3.11, 2 Br 3.45
Tl 0.8285 0.1715 0.7500  2 Ta 3.11, 2 Br 3.45
Br 0.0601 0.2282 0.3048  1 Ta 2.50
Br 0.2282 0.0601 0.8048  1 Ta 2.50
Br 0.2519 0.5188 0.8875  1 Ta 2.48
Br 0.4812 0.7481 0.6125  1 Ta 2.48
Br 0.5188 0.2519 0.3875  1 Ta 2.48
Br 0.7481 0.4812 0.1125  1 Ta 2.48
Br 0.7718 0.9399 0.1952  1 Ta 2.50
Br 0.9399 0.7718 0.6952  1 Ta 2.50

---

[3]
The following is a PBE calculation of an optimized crystal structure of Ta2TlBr, from Alexandria via LeMat-Bulk.

Properties
Energy relative to the lowest polymorph listed for this composition   79.8 kJ/mol of atoms
Volume   21.00 Å³/atom

Cell lengths 4.9161, 4.9161, 4.9161 Å; angles 60.00, 60.00, 60.00 degrees
Last column: nearest neighbours and their distance in Å.
Fractional coordinates of all 4 atoms:
Ta 0.0000 0.0000 0.0000  4 Br 3.01, 4 Ta 3.01
Ta 0.2500 0.2500 0.2500  4 Tl 3.01, 4 Ta 3.01
Tl 0.5000 0.5000 0.5000  4 Ta 3.01, 4 Br 3.01
Br 0.7500 0.7500 0.7500  4 Ta 3.01, 4 Tl 3.01

---

[4]
The following is a PBE calculation of an optimized crystal structure of Ta2TlBr, from Alexandria via LeMat-Bulk.

Properties
Energy relative to the lowest polymorph listed for this composition   63.0 kJ/mol of atoms
Volume   19.16 Å³/atom

Cell lengths 3.1606, 3.2990, 7.3511 Å; angles 90.00, 90.00, 90.00 degrees
Last column: nearest neighbours and their distance in Å.
Fractional coordinates of all 4 atoms:
Ta 0.0000 0.0000 0.2328  4 Br 2.85, 4 Tl 3.01, 2 Ta 3.16
Ta 0.0000 0.0000 0.7672  4 Br 2.85, 4 Tl 3.01, 2 Ta 3.16
Tl 0.5000 0.5000 0.5000  8 Ta 3.01, 4 Tl 3.16-3.30
Br 0.5000 0.5000 0.0000  8 Ta 2.85, 2 Br 3.16